(1)
Here is a geometry-optimized NpGeIr3 structure from Alexandria. Energies are from PBE.

Lattice parameters (Å, degrees): 4.616 4.616 4.616 90.00 90.00 90.00
Space group Pm-3m (No. 221)
Inequivalent atoms, fractional coordinates:
Np (0.000, 0.000, 0.000) (multiplicity 1)
Ge (0.500, 0.500, 0.500) (multiplicity 1)
Ir (0.000, 0.500, 0.500) (multiplicity 3)

Calculated values
Crystal system   cubic
Calculated total energy   -8.3580 eV per atom
Total magnetic moment   4.01 μB/cell
Energy of formation from the pure elements   0.4703 eV per atom

---

(2)
Here is a geometry-optimized Nd4TlSiTe2 structure from Alexandria. Energies are from PBE.

Lattice parameters (Å, degrees): 7.649 4.389 7.887 90.00 108.51 90.00
Space group P2/m (No. 10)
Inequivalent atoms, fractional coordinates:
Nd (0.231, 0.000, 0.230) (multiplicity 2)
Nd (0.240, 0.500, 0.756) (multiplicity 2)
Tl (0.500, 0.000, 0.000) (multiplicity 1)
Si (0.000, 0.500, 0.000) (multiplicity 1)
Te (0.000, 0.000, 0.500) (multiplicity 1)
Te (0.500, 0.500, 0.500) (multiplicity 1)

Calculated values
Formation energy from raw total energies   -970 meV/atom
Crystal system   monoclinic
Calculated total energy   -5.1127 eV per atom
Total magnetic moment   0.00 μB/cell

---

(3)
Here is a geometry-optimized DyBi2Rh structure from Alexandria. Energies are from PBE.

Lattice parameters (Å, degrees): 3.5531 3.5531 30.2949 90.00 90.00 120.00
Space group R-3m (No. 166, hexagonal axes)
Inequivalent atoms, fractional coordinates:
Dy (0.0000, 0.0000, 0.0000) (multiplicity 3)
Bi (0.0000, 0.0000, 0.1041) (multiplicity 6)
Rh (0.0000, 0.0000, 0.5000) (multiplicity 3)

Calculated values
Crystal system   trigonal
Calculated total energy   -4.9746 eV per atom
Total magnetic moment   0.00 μB/cell
Energy of formation from the pure elements   -0.0457 eV per atom

---

(4)
Here is a geometry-optimized PPtPbO2 structure from Alexandria. Energies are from PBE.

Lattice parameters (Å, degrees): 4.054 4.054 4.912 90.00 90.00 90.00
Space group P4/mmm (No. 123)
Inequivalent atoms, fractional coordinates:
P (0.000, 0.000, 0.000) (multiplicity 1)
Pt (0.000, 0.000, 0.500) (multiplicity 1)
Pb (0.500, 0.500, 0.000) (multiplicity 1)
O (0.000, 0.500, 0.500) (multiplicity 2)

Calculated values
Formation energy from raw total energies   -23 meV/atom
Crystal system   tetragonal
Calculated total energy   -5.0376 eV per atom
Total magnetic moment   0.76 μB/cell
Energy above the lowest structure with this stoichiometry   0.000 kcal/mol of atoms

---

(5)
Here is a geometry-optimized H5Se2I2 structure from Alexandria. Energies are from PBE.

Lattice parameters (Å, degrees): 22.160 6.053 7.709 90.00 90.00 90.00
Space group Ima2 (No. 46)
Inequivalent atoms, fractional coordinates:
H (0.066, 0.109, 0.000) (multiplicity 8)
H (0.072, 0.569, 0.266) (multiplicity 8)
H (0.250, 0.204, 0.174) (multiplicity 4)
Se (0.102, 0.586, 0.440) (multiplicity 8)
I (0.000, 0.000, 0.482) (multiplicity 4)
I (0.250, 0.026, 0.333) (multiplicity 4)

Calculated values
Crystal system   orthorhombic
Calculated total energy   -2.9334 eV per atom
Total magnetic moment   4.12 μB/cell
Energy above the lowest structure with this stoichiometry   0.000 kcal/mol of atoms

---

(6)
Here is a geometry-optimized LiTmUSe3 structure from Alexandria. Energies are from PBE.

Lattice parameters (Å, degrees): 8.392 3.902 8.755 90.00 103.85 90.00
Space group P2_1/m (No. 11)
Inequivalent atoms, fractional coordinates:
Li (0.086, 0.250, 0.080) (multiplicity 2)
Tm (0.334, 0.750, 0.336) (multiplicity 2)
U (0.178, 0.250, 0.714) (multiplicity 2)
Se (0.098, 0.250, 0.365) (multiplicity 2)
Se (0.227, 0.750, 0.994) (multiplicity 2)
Se (0.428, 0.750, 0.672) (multiplicity 2)

Calculated values
Formation energy from raw total energies   -1306 meV/atom
Crystal system   monoclinic
Calculated total energy   -5.9938 eV per atom
Total magnetic moment   6.71 μB/cell

---

(7)
Here is a geometry-optimized TaCoAu4 structure from Alexandria. Energies are from PBE.

Lattice parameters (Å, degrees): 7.571 7.571 7.571 90.00 90.00 90.00
Space group F-43m (No. 216)
Inequivalent atoms, fractional coordinates:
Ta (0.000, 0.000, 0.000) (multiplicity 4)
Co (0.250, 0.250, 0.250) (multiplicity 4)
Au (0.125, 0.125, 0.625) (multiplicity 16)

Calculated values
Crystal system   cubic
Calculated total energy   -4.8101 eV per atom
Total magnetic moment   2.45 μB/cell
Energy of formation from the pure elements   0.5346 eV per atom

---

(8)
Here is a geometry-optimized PuMgS structure from Alexandria. Energies are from PBE.

Lattice parameters (Å, degrees): 4.2414 4.2414 24.8221 90.00 90.00 120.00
Space group R-3m (No. 166, hexagonal axes)
Inequivalent atoms, fractional coordinates:
Pu (0.0000, 0.0000, 0.1666) (multiplicity 6)
Mg (0.0000, 0.0000, 0.3928) (multiplicity 6)
S (0.0000, 0.0000, 0.2811) (multiplicity 6)

Calculated values
Formation energy from raw total energies   -445 meV/atom
Crystal system   trigonal
Calculated total energy   -7.1295 eV per atom
Total magnetic moment   18.93 μB/cell

---

(9)
Here is a geometry-optimized InCo2Se structure from Alexandria. Energies are from PBE.

Lattice parameters (Å, degrees): 3.193 3.193 6.339 90.00 90.00 90.00
Space group P4mm (No. 99)
Inequivalent atoms, fractional coordinates:
In (0.000, 0.000, 0.000) (multiplicity 1)
Co (0.000, 0.000, 0.547) (multiplicity 1)
Co (0.500, 0.500, 0.780) (multiplicity 1)
Se (0.500, 0.500, 0.416) (multiplicity 1)

Calculated values
Formation energy from raw total energies   94 meV/atom
Crystal system   tetragonal
Calculated total energy   -5.0142 eV per atom
Total magnetic moment   1.14 μB/cell
Energy above the lowest structure with this stoichiometry   0.000 kcal/mol of atoms

---

(10)
Here is a geometry-optimized Tl3In2GaI6 structure from Alexandria. Energies are from PBE.

Lattice parameters (Å, degrees): 21.565 4.940 9.909 90.00 103.21 90.00
Space group C2/m (No. 12)
Inequivalent atoms, fractional coordinates:
Tl (0.000, 0.000, 0.000) (multiplicity 2)
Tl (0.168, 0.500, 0.334) (multiplicity 4)
In (0.165, 0.500, 0.830) (multiplicity 4)
Ga (0.000, 0.000, 0.500) (multiplicity 2)
I (0.001, 0.500, 0.264) (multiplicity 4)
I (0.160, 0.000, 0.581) (multiplicity 4)
I (0.167, 0.000, 0.080) (multiplicity 4)

Calculated values
Formation energy from raw total energies   -537 meV/atom
Crystal system   monoclinic
Calculated total energy   -2.6125 eV per atom
Total magnetic moment   0.00 μB/cell

---

(11)
Here is a geometry-optimized GdHoCuAu structure from Alexandria. Energies are from PBE.

Lattice parameters (Å, degrees): 7.116 7.116 7.116 90.00 90.00 90.00
Space group F-43m (No. 216)
Inequivalent atoms, fractional coordinates:
Gd (0.000, 0.000, 0.000) (multiplicity 4)
Ho (0.000, 0.000, 0.500) (multiplicity 4)
Cu (0.250, 0.250, 0.250) (multiplicity 4)
Au (0.250, 0.250, 0.750) (multiplicity 4)

Calculated values
Crystal system   cubic
Calculated total energy   -7.0419 eV per atom
Total magnetic moment   28.54 μB/cell
Energy of formation from the pure elements   -0.5339 eV per atom

---

(12)
Here is a geometry-optimized BaLiCo structure from Alexandria. Energies are from PBE.

Lattice parameters (Å, degrees): 5.583 4.105 8.005 90.00 99.96 90.00
Space group Pm (No. 6)
Inequivalent atoms, fractional coordinates:
Ba (0.000, 0.000, 0.000) (multiplicity 1)
Ba (0.385, 0.000, 0.535) (multiplicity 1)
Li (0.552, 0.500, 0.210) (multiplicity 1)
Li (0.895, 0.500, 0.581) (multiplicity 1)
Co (0.011, 0.500, 0.304) (multiplicity 1)
Co (0.868, 0.000, 0.349) (multiplicity 1)

Calculated values
Crystal system   monoclinic
Calculated total energy   -3.3970 eV per atom
Total magnetic moment   1.50 μB/cell
Energy above the lowest structure with this stoichiometry   0.762 kcal/mol of atoms
Energy of formation from the pure elements   0.2504 eV per atom

---

(13)
Here is a geometry-optimized NaCd6Pd3 structure from Alexandria. Energies are from PBE.

Lattice parameters (Å, degrees): 11.198 12.233 6.155 90.00 90.00 90.00
Space group Cmc2_1 (No. 36)
Inequivalent atoms, fractional coordinates:
Na (0.000, 0.214, 0.000) (multiplicity 4)
Cd (0.000, 0.194, 0.511) (multiplicity 4)
Cd (0.000, 0.445, 0.314) (multiplicity 4)
Cd (0.211, 0.025, 0.476) (multiplicity 8)
Cd (0.230, 0.290, 0.306) (multiplicity 8)
Pd (0.000, 0.003, 0.238) (multiplicity 4)
Pd (0.130, 0.377, 0.677) (multiplicity 8)

Calculated values
Crystal system   orthorhombic
Calculated total energy   -2.4451 eV per atom
Total magnetic moment   0.00 μB/cell
Energy of formation from the pure elements   -0.2063 eV per atom

---

(14)
Here is a geometry-optimized Nb3GaPd structure from Alexandria. Energies are from PBE.

Lattice parameters (Å, degrees): 4.712 4.712 4.712 90.00 90.00 90.00
Space group Pm-3m (No. 221)
Inequivalent atoms, fractional coordinates:
Nb (0.000, 0.000, 0.500) (multiplicity 3)
Ga (0.000, 0.000, 0.000) (multiplicity 1)
Pd (0.500, 0.500, 0.500) (multiplicity 1)

Calculated values
Crystal system   cubic
Calculated total energy   -6.6132 eV per atom
Total magnetic moment   0.00 μB/cell
Energy above the lowest structure with this stoichiometry   0.000 kcal/mol of atoms
Energy of formation from the pure elements   1.0726 eV per atom

---

(15)
Here is a geometry-optimized CoTeH2 structure from Alexandria. Energies are from PBE.

Lattice parameters (Å, degrees): 5.488 5.488 5.488 90.00 90.00 90.00
Space group Fm-3m (No. 225)
Inequivalent atoms, fractional coordinates:
Co (0.000, 0.000, 0.000) (multiplicity 4)
Te (0.000, 0.000, 0.500) (multiplicity 4)
H (0.250, 0.250, 0.250) (multiplicity 8)

Calculated values
Crystal system   cubic
Calculated total energy   -3.3179 eV per atom
Total magnetic moment   0.00 μB/cell
Energy above the lowest structure with this stoichiometry   11.101 kcal/mol of atoms

---

(16)
Here is a geometry-optimized Ir3Se structure from Alexandria. Energies are from PBE.

Lattice parameters (Å, degrees): 8.6568 8.6568 2.8882 90.00 90.00 120.00
Space group R-3m (No. 166, hexagonal axes)
Inequivalent atoms, fractional coordinates:
Ir (0.0000, 0.5000, 0.0000) (multiplicity 9)
Se (0.0000, 0.0000, 0.0000) (multiplicity 3)

Calculated values
Formation energy from raw total energies   763 meV/atom
Crystal system   trigonal
Calculated total energy   -6.7540 eV per atom
Total magnetic moment   0.01 μB/cell
Energy above the lowest structure with this stoichiometry   10.937 kcal/mol of atoms

---

(17)
Here is a geometry-optimized PaB4Ir4 structure from Alexandria. Energies are from PBE.

Lattice parameters (Å, degrees): 5.405 5.405 7.550 90.00 90.00 90.00
Space group P4_2/nmc (No. 137, origin choice 2)
Inequivalent atoms, fractional coordinates:
Pa (0.250, 0.750, 0.250) (multiplicity 2)
B (0.080, 0.250, 0.099) (multiplicity 8)
Ir (0.004, 0.250, 0.397) (multiplicity 8)

Calculated values
Crystal system   tetragonal
Calculated total energy   -8.4310 eV per atom
Total magnetic moment   0.00 μB/cell
Energy of formation from the pure elements   -0.4700 eV per atom

---

(18)
Here is a geometry-optimized V4P3 structure from Alexandria. Energies are from PBE.

Lattice parameters (Å, degrees): 3.244 13.284 17.179 90.00 90.00 90.00
Space group Cmcm (No. 63)
Inequivalent atoms, fractional coordinates:
V (0.000, 0.000, 0.000) (multiplicity 4)
V (0.000, 0.060, 0.250) (multiplicity 4)
V (0.000, 0.265, 0.161) (multiplicity 8)
V (0.000, 0.331, 0.527) (multiplicity 8)
V (0.000, 0.467, 0.119) (multiplicity 8)
P (0.000, 0.098, 0.117) (multiplicity 8)
P (0.000, 0.157, 0.576) (multiplicity 8)
P (0.000, 0.303, 0.750) (multiplicity 4)
P (0.000, 0.419, 0.250) (multiplicity 4)

Calculated values
Crystal system   orthorhombic
Calculated total energy   -8.3766 eV per atom
Total magnetic moment   0.00 μB/cell
Energy of formation from the pure elements   -0.8474 eV per atom

---

(19)
Here is a geometry-optimized Y3CdRh structure from Alexandria. Energies are from PBE.

Lattice parameters (Å, degrees): 15.652 4.096 10.261 90.00 124.23 90.00
Space group C2/m (No. 12)
Inequivalent atoms, fractional coordinates:
Y (0.090, 0.000, 0.449) (multiplicity 4)
Y (0.138, 0.500, 0.213) (multiplicity 4)
Y (0.168, 0.500, 0.801) (multiplicity 4)
Cd (0.072, 0.000, 0.928) (multiplicity 4)
Rh (0.232, 0.500, 0.588) (multiplicity 4)

Calculated values
Crystal system   monoclinic
Calculated total energy   -5.9791 eV per atom
Total magnetic moment   0.00 μB/cell
Energy above the lowest structure with this stoichiometry   0.967 kcal/mol of atoms
Energy of formation from the pure elements   -0.4473 eV per atom

---

(20)
Here is a geometry-optimized Ac2Dy4Y3 structure from Alexandria. Energies are from PBE.

Lattice parameters (Å, degrees): 3.6924 3.6924 26.8047 90.00 90.00 120.00
Space group P3m1 (No. 156)
Inequivalent atoms, fractional coordinates:
Ac (0.0000, 0.0000, 0.0000) (multiplicity 1)
Ac (0.0000, 0.0000, 0.2294) (multiplicity 1)
Dy (0.0000, 0.0000, 0.3645) (multiplicity 1)
Dy (0.0000, 0.0000, 0.5723) (multiplicity 1)
Dy (0.3333, 0.6667, 0.6762) (multiplicity 1)
Dy (0.3333, 0.6667, 0.8853) (multiplicity 1)
Y (0.0000, 0.0000, 0.7810) (multiplicity 1)
Y (0.3333, 0.6667, 0.1169) (multiplicity 1)
Y (0.3333, 0.6667, 0.4674) (multiplicity 1)

Calculated values
Crystal system   trigonal
Calculated total energy   -5.0343 eV per atom
Total magnetic moment   0.04 μB/cell
Energy of formation from the pure elements   0.0788 eV per atom